# 1
This record from Alexandria describes an optimized crystal structure of Cs2SrCBr6. The functional is PBE-GGA.

a = 11.1204 Å, b = 11.1204 Å, c = 11.1204 Å
α = 90.00°, β = 90.00°, γ = 90.00°
With the nearest neighbours (Å) after each atom.
Space group Fm-3m (No. 225)
Unique sites:
Cs: 0.2500 0.2500 0.2500 (multiplicity 8)  12 Br 3.94
Sr: 0.0000 0.0000 0.0000 (multiplicity 4)  6 Br 3.03
C: 0.0000 0.0000 0.5000 (multiplicity 4)  6 Br 2.53
Br: 0.0000 0.0000 0.2725 (multiplicity 24)  1 C 2.53

Properties
As for the energy relative to the elements, uncorrected: -860 meV per atom.

# 2
This record from Alexandria describes an optimized crystal structure of Sr4FeW. The functional is PBE-GGA.

a = 9.5188 Å, b = 9.5188 Å, c = 9.5188 Å
α = 90.00°, β = 90.00°, γ = 90.00°
With the nearest neighbours (Å) after each atom.
Space group F-43m (No. 216)
Unique sites:
Sr: 0.1248 0.1248 0.1248 (multiplicity 16)  6 Sr 3.36-3.37
Fe: 0.0000 0.0000 0.5000 (multiplicity 4)  12 Sr 3.95, 4 W 4.12
W: 0.2500 0.2500 0.7500 (multiplicity 4)  12 Sr 3.95, 4 Fe 4.12

Properties
As for the formation energy: 1.678 eV/atom.

# 3
This record from Alexandria describes an optimized crystal structure of LiLa2PbS. The functional is PBE-GGA.

a = 5.5911 Å, b = 5.5911 Å, c = 4.5861 Å
α = 90.00°, β = 90.00°, γ = 90.00°
With the nearest neighbours (Å) after each atom.
Space group P4/mmm (No. 123)
Unique sites:
Li: 0.0000 0.0000 0.0000 (multiplicity 1)  2 S 2.29
La: 0.0000 0.5000 0.5000 (multiplicity 2)  2 S 2.80
Pb: 0.5000 0.5000 0.0000 (multiplicity 1)  8 La 3.62, 4 Li 3.95
S: 0.0000 0.0000 0.5000 (multiplicity 1)  2 Li 2.29

Properties
As for the energy relative to the elements, uncorrected: -1053 meV per atom.

# 4
This record from Alexandria describes an optimized crystal structure of MgWBr2. The functional is PBE-GGA.

a = 3.3297 Å, b = 3.3297 Å, c = 28.1523 Å
α = 90.00°, β = 90.00°, γ = 120.00°
With the nearest neighbours (Å) after each atom.
Space group R3m (No. 160, hexagonal axes)
Unique sites:
Mg: 0.0000 0.0000 0.0000 (multiplicity 3)  3 Br 2.61
W: 0.0000 0.0000 0.7503 (multiplicity 3)  3 Br 2.57
Br: 0.0000 0.0000 0.2706 (multiplicity 3)  3 Mg 2.61
Br: 0.0000 0.0000 0.4779 (multiplicity 3)  3 W 2.57

Properties
As for the energy relative to the elements, uncorrected: -43 meV per atom.

# 5
This record from Alexandria describes an optimized crystal structure of Mg2Tl4S5. The functional is PBE-GGA.

a = 3.9241 Å, b = 3.9241 Å, c = 64.0553 Å
α = 90.00°, β = 90.00°, γ = 120.00°
With the nearest neighbours (Å) after each atom.
Space group R-3m (No. 166, hexagonal axes)
Unique sites:
Mg: 0.0000 0.0000 0.1437 (multiplicity 6)  6 S 2.65-2.70
Tl: 0.0000 0.0000 0.3110 (multiplicity 6)  3 S 2.69
Tl: 0.0000 0.0000 0.4260 (multiplicity 6)  4 S 2.96-3.06
S: 0.0000 0.0000 0.2110 (multiplicity 6)  3 Mg 2.65, 3 Tl 2.96
S: 0.0000 0.0000 0.3783 (multiplicity 6)  3 Tl 2.69
S: 0.0000 0.0000 0.5000 (multiplicity 3)  6 Mg 2.70

Properties
As for the energy relative to the elements, uncorrected: -558 meV per atom.

# 6
This record from Alexandria describes an optimized crystal structure of RbMgSbI2. The functional is PBE-GGA.

a = 6.1027 Å, b = 6.1027 Å, c = 5.6562 Å
α = 90.00°, β = 90.00°, γ = 90.00°
With the nearest neighbours (Å) after each atom.
Space group P4/mmm (No. 123)
Unique sites:
Rb: 0.0000 0.0000 0.0000 (multiplicity 1)  8 I 4.16, 4 Sb 4.32
Mg: 0.5000 0.5000 0.5000 (multiplicity 1)  2 Sb 2.83, 4 I 3.05
Sb: 0.5000 0.5000 0.0000 (multiplicity 1)  2 Mg 2.83
I: 0.0000 0.5000 0.5000 (multiplicity 2)  2 Mg 3.05

Properties
As for the energy relative to the elements, uncorrected: -573 meV per atom.

# 7
This record from Alexandria describes an optimized crystal structure of DyTm3Sc. The functional is PBE-GGA.

a = 6.0937 Å, b = 6.5171 Å, c = 8.9307 Å
α = 107.66°, β = 90.02°, γ = 117.87°
With the nearest neighbours (Å) after each atom.
Space group P-1 (No. 2)
Unique sites:
Dy: 0.0316 0.4032 0.1531 (multiplicity 2)  9 Tm 3.40-3.58, 1 Dy 3.43, 2 Sc 3.50-3.53
Tm: 0.1673 0.0058 0.2528 (multiplicity 2)  3 Sc 3.38-3.47, 6 Tm 3.40-3.54, 3 Dy 3.40-3.58
Tm: 0.2343 0.8009 0.5485 (multiplicity 2)  6 Tm 3.39-3.52, 4 Sc 3.40-3.51, 2 Dy 3.41-3.49
Tm: 0.4340 0.2025 0.9475 (multiplicity 2)  6 Tm 3.38-3.54, 4 Dy 3.40-3.56, 2 Sc 3.42-3.56
Sc: 0.3682 0.4017 0.6464 (multiplicity 2)  1 Sc 3.34, 9 Tm 3.38-3.56, 2 Dy 3.50-3.53

Properties
As for the formation energy: 0.011 eV/atom.

# 8
This record from Alexandria describes an optimized crystal structure of AlZnW2. The functional is PBE-GGA.

a = 3.3259 Å, b = 4.2732 Å, c = 8.6208 Å
α = 90.00°, β = 90.00°, γ = 90.00°
With the nearest neighbours (Å) after each atom.
Space group Cmmm (No. 65)
Unique sites:
Al: 0.0000 0.0000 0.0000 (multiplicity 2)  8 W 2.71-3.02, 4 Al 2.71
Zn: 0.0000 0.0000 0.5000 (multiplicity 2)  4 Zn 2.71, 4 W 2.74
W: 0.0000 0.5000 0.2476 (multiplicity 4)  4 Al 2.71-3.02, 4 W 2.71, 2 Zn 2.74

Properties
As for the formation energy: 0.137 eV/atom.

Calculated values (states/eV/cell) of DOS at the Fermi energy for the records, taken in order: 0.00, 47.67, 1.81, 11.95, 20.70, 0.51, 17.83, 4.25.
Calculated values (Ry/atom) of electronic total energy for the records, taken in order: -0.2297, -0.2214, -0.3655, -0.3319, -0.2635, -0.1860, -0.3571, -0.5581.
Calculated values (Å³ per atom) of volume for the records, taken in order: 34.38, 35.94, 28.67, 22.53, 25.88, 42.13, 29.45, 15.32.